meta-GGA SCAN V4O3F9, single point on PBEsol structure; total DFT energy (no corrections) = -10.558 eV/atom; space-group type = C2; V = 201.8 Å³/cell; uncorrected formation energy = -3026 meV/atom; D(E_F) = 4.41 states/eV/cell
1.0
4.5651 -2.6215 0.0000
4.5651 2.6215 0.0000
-2.6812 0.0000 8.4315
V O F
4 3 9
direct
0.1195 0.1195 0.3797
0.3749 0.3550 0.1348
0.6450 0.6251 0.8652
0.8805 0.8805 0.6203
0.3056 0.2031 0.2500
0.7969 0.6944 0.7500
0.9578 0.0422 0.5000
0.2931 0.6749 0.7126
0.3251 0.7069 0.2874
0.4325 0.0407 0.9564
0.4484 0.5516 0.0000
0.4627 0.0572 0.5414
0.7975 0.1845 0.2035
0.8155 0.2025 0.7965
0.9428 0.5373 0.4586
0.9593 0.5675 0.0436